Below is a geometry-optimized NaLa2Er structure, with properties calculated at the PBE-GGA level.

The structure in POSCAR format:
```
NaLa2Er
1.0
-2.002 3.153 -0.650
-2.181 -0.222 5.639
4.652 3.352 1.931
Na La Er
1 2 1
Cartesian
0.235 3.141 3.460
2.326 1.676 0.966
-1.090 -0.111 2.819
-1.001 1.577 -0.325
```

Results
E: -3.759 eV per atom
spin magnetization: 0.00 μB/f.u.
SG: P4/mmm (123)
energy of formation from the pure elements: 0.18 eV/atom
crystal system: tetragonal